Entry 1:
# Tb2Pm8Dy PBE optimized geometry
data_Tb2Pm8Dy
_cell_length_a 6.733
_cell_length_b 6.733
_cell_length_c 9.332
_cell_angle_alpha 103.58
_cell_angle_beta 103.58
_cell_angle_gamma 67.20
_symmetry_space_group_name_H-M 'P 1'
_symmetry_Int_Tables_number 1
loop_
_symmetry_equiv_pos_as_xyz
'x,y,z'
loop_
_atom_site_label
_atom_site_type_symbol
_atom_site_fract_x
_atom_site_fract_y
_atom_site_fract_z
Tb1 Tb 0.142 0.142 0.127
Tb2 Tb 0.858 0.858 0.873
Pm1 Pm 0.213 0.650 0.227
Pm2 Pm 0.308 0.308 0.502
Pm3 Pm 0.325 0.325 0.876
Pm4 Pm 0.350 0.787 0.773
Pm5 Pm 0.650 0.213 0.227
Pm6 Pm 0.675 0.675 0.124
Pm7 Pm 0.692 0.692 0.498
Pm8 Pm 0.787 0.350 0.773
Dy1 Dy 0.000 0.000 0.500
# E in eV for the cell shown: -50.5
# M_tot in μB per formula unit: 0.000
# Crystal system: monoclinic
# E_form in meV/atom: 120

=====

Entry 2:
# La2Pr8Sm3 PBE optimized geometry
data_La2Pr8Sm3
_cell_length_a 9.035
_cell_length_b 9.035
_cell_length_c 6.297
_cell_angle_alpha 107.19
_cell_angle_beta 107.19
_cell_angle_gamma 83.89
_symmetry_space_group_name_H-M 'P 1'
_symmetry_Int_Tables_number 1
loop_
_symmetry_equiv_pos_as_xyz
'x,y,z'
loop_
_atom_site_label
_atom_site_type_symbol
_atom_site_fract_x
_atom_site_fract_y
_atom_site_fract_z
La1 La 0.211 0.211 0.348
La2 La 0.789 0.789 0.652
Pr1 Pr 0.058 0.058 0.782
Pr2 Pr 0.076 0.585 0.329
Pr3 Pr 0.349 0.349 0.947
Pr4 Pr 0.415 0.924 0.671
Pr5 Pr 0.585 0.076 0.329
Pr6 Pr 0.651 0.651 0.053
Pr7 Pr 0.924 0.415 0.671
Pr8 Pr 0.942 0.942 0.218
Sm1 Sm 0.255 0.745 0.000
Sm2 Sm 0.500 0.500 0.500
Sm3 Sm 0.745 0.255 0.000
# E in eV for the cell shown: -60.3
# M_tot in μB per formula unit: 0.000
# Crystal system: monoclinic
# E_form in meV/atom: 149

=====

- M_tot of number 2 (La2Pr8Sm3)?
  0.000 μB per formula unit

=====

- Among the records above, which one has the highest E?
  Tb2Pm8Dy

=====

What did the first record say?
# Tb2Pm8Dy PBE optimized geometry
data_Tb2Pm8Dy
_cell_length_a 6.733
_cell_length_b 6.733
_cell_length_c 9.332
_cell_angle_alpha 103.58
_cell_angle_beta 103.58
_cell_angle_gamma 67.20
_symmetry_space_group_name_H-M 'P 1'
_symmetry_Int_Tables_number 1
loop_
_symmetry_equiv_pos_as_xyz
'x,y,z'
loop_
_atom_site_label
_atom_site_type_symbol
_atom_site_fract_x
_atom_site_fract_y
_atom_site_fract_z
Tb1 Tb 0.142 0.142 0.127
Tb2 Tb 0.858 0.858 0.873
Pm1 Pm 0.213 0.650 0.227
Pm2 Pm 0.308 0.308 0.502
Pm3 Pm 0.325 0.325 0.876
Pm4 Pm 0.350 0.787 0.773
Pm5 Pm 0.650 0.213 0.227
Pm6 Pm 0.675 0.675 0.124
Pm7 Pm 0.692 0.692 0.498
Pm8 Pm 0.787 0.350 0.773
Dy1 Dy 0.000 0.000 0.500
# E in eV for the cell shown: -50.5
# M_tot in μB per formula unit: 0.000
# Crystal system: monoclinic
# E_form in meV/atom: 120

=====

- Look up the E of the second one.
  -60.3 eV for the cell shown